Compound: Cd3HgP
Source: Alexandria
Functional: GGA-PBE
Structure: optimized geometry Values from VASP.

V   28.9 Å³ per atom
Excess energy over the best structure of this formula in the dataset   0.000 eV per atom
VASP energy   -7.32 eV per formula unit
ΔE_f   0.228 eV per atom

The structure in Quantum ESPRESSO input format:
```
&SYSTEM
  ibrav = 0, nat = 5, ntyp = 3
/
ATOMIC_SPECIES
P 30.97 P.upf
Hg 200.59 Hg.upf
Cd 112.41 Cd.upf
CELL_PARAMETERS angstrom
5.246 0.000 0.000
0.000 5.246 0.000
0.000 0.000 5.246
ATOMIC_POSITIONS angstrom
P 0.000 0.000 0.000
Hg 2.623 2.623 2.623
Cd 0.000 2.623 0.000
Cd 0.000 0.000 2.623
Cd 2.623 0.000 0.000
```